Record 1
# AlInSe2

An optimized crystal structure of AlInSe2 (PBEsol, the Alexandria database).

total energy: -4.2908 eV/atom
formation energy from raw total energies: -2.39 eV/f.u.

abc: 6.4412 3.7135 7.8960
angles: 90.00 105.67 90.00
Closest atoms and distances in Å follow each position.
Space group C2/m (No. 12)
Unique sites:
Al 0.0000 0.0000 0.0000 [2 per cell]  6 Se 2.57
In 0.0000 0.5000 0.5000 [2 per cell]  6 Se 3.21
Se 0.2283 0.5000 0.1859 [4 per cell]  3 Al 2.57

Record 2
# AlInSe2

An optimized crystal structure of AlInSe2 (PBEsol, the Alexandria database).

total energy: -4.0542 eV/atom
formation energy from raw total energies: -1.44 eV/f.u.

abc: 14.4694 3.5168 4.2585
angles: 90.00 100.68 90.00
Closest atoms and distances in Å follow each position.
Space group Cm (No. 8)
Unique sites:
Al 0.0000 0.0000 0.0000 [2 per cell]  4 Se 2.43-2.47
In 0.2687 0.5000 0.4958 [2 per cell]  6 Se 3.12-3.31
Se 0.1065 0.5000 0.8997 [2 per cell]  2 Al 2.43
Se 0.3886 0.0000 0.0929 [2 per cell]  2 Al 2.47

Record 3
# AlInSe2

An optimized crystal structure of AlInSe2 (PBEsol, the Alexandria database).

total energy: -3.8352 eV/atom
formation energy from raw total energies: -0.57 eV/f.u.

abc: 3.8135 3.8135 13.2348
angles: 90.00 90.00 90.00
Closest atoms and distances in Å follow each position.
Space group I-4m2 (No. 119)
Unique sites:
Al 0.0000 0.0000 0.0000 [2 per cell]  4 Se 2.70
In 0.0000 0.5000 0.2500 [2 per cell]  4 Se 2.70
Se 0.0000 0.0000 0.5000 [2 per cell]  4 Al 2.70
Se 0.0000 0.5000 0.7500 [2 per cell]  4 In 2.70

Record 4
# AlInSe2

An optimized crystal structure of AlInSe2 (PBEsol, the Alexandria database).

total energy: -4.2559 eV/atom
formation energy from raw total energies: -2.25 eV/f.u.

abc: 7.2160 7.2160 8.0393
angles: 90.00 90.00 90.00
Closest atoms and distances in Å follow each position.
Space group I-42d (No. 122)
Unique sites:
Al 0.0000 0.0000 0.0000 [4 per cell]  4 Se 2.40
In 0.0000 0.0000 0.5000 [4 per cell]  4 Se 3.15
Se 0.1698 0.7500 0.1250 [8 per cell]  2 Al 2.40

Q: Which value of formation energy from raw total energies does entry 2 give?
A: -1.44 eV/f.u.